Rb2PtW, relaxed, DFT PBE; relative energy among the computed polymorphs = 0 meV per atom; space group = I-42d, No. 122; DFT total energy = -33.2 eV for the cell shown; energy of formation = 1.08 eV per atom; magnetic moment = 7.25 Bohr magnetons per cell; V = 401.7 Å³/cell
1.0
12.8112 0.0000 0.0000
0.0000 12.8112 0.0000
6.4056 6.4056 2.4473
Rb W Pt
4 2 2
Direct
0.7988 0.1250 0.2500
0.9512 0.6250 0.2500
0.3750 0.2012 0.7500
0.8750 0.0488 0.7500
0.5000 0.5000 0.0000
0.2500 0.7500 0.5000
0.0000 0.0000 0.0000
0.7500 0.2500 0.5000


Rb2YPt2, relaxed, DFT PBE; relative energy among the computed polymorphs = 0 meV per atom; space group = P4/mbm, No. 127; DFT total energy = -42.6 eV for the cell shown; energy of formation = -0.17 eV per atom; magnetic moment = 1.45 Bohr magnetons per cell; V = 307.7 Å³/cell
1.0
-0.2367 -6.9573 -2.1893
6.6398 0.7009 -2.9453
2.3898 -1.6529 4.9941
Y Rb Pt
2 4 4
Direct
0.0000 0.0000 0.0000
0.5000 0.5000 0.0000
0.1664 0.6664 0.5000
0.6664 0.8336 0.5000
0.8336 0.3336 0.5000
0.3336 0.1664 0.5000
0.3712 0.8712 0.0000
0.8712 0.6288 0.0000
0.6288 0.1288 0.0000
0.1288 0.3712 0.0000


Rb2YPt, relaxed, DFT PBE; relative energy among the computed polymorphs = 0 meV per atom; space group = I-42d, No. 122; DFT total energy = -27.6 eV for the cell shown; energy of formation = 0.16 eV per atom; magnetic moment = 0.00 Bohr magnetons per cell; V = 418.8 Å³/cell
1.0
12.5398 0.0000 0.0000
0.0000 12.5398 0.0000
6.2699 6.2699 2.6633
Y Rb Pt
2 4 2
Direct
0.5000 0.5000 0.0000
0.2500 0.7500 0.5000
0.7670 0.1250 0.2500
0.9830 0.6250 0.2500
0.3750 0.2330 0.7500
0.8750 0.0170 0.7500
0.0000 0.0000 0.0000
0.7500 0.2500 0.5000


RbY2Pt2, relaxed, DFT PBE; space group = I4/mmm, No. 139; DFT total energy = -29.3 eV for the cell shown; energy of formation = -0.67 eV per atom; magnetic moment = 0.00 Bohr magnetons per cell; V = 140.9 Å³/cell
1.0
4.9276 0.0000 0.0000
0.0000 4.9276 0.0000
2.4638 2.4638 5.8037
Y Rb Pt
2 1 2
Direct
0.7500 0.2500 0.5000
0.2500 0.7500 0.5000
0.0000 0.0000 0.0000
0.3812 0.3812 0.2376
0.6188 0.6188 0.7624


Rb2YPt, relaxed, DFT PBE; relative energy among the computed polymorphs = 641 meV per atom; space group = Fm-3m, No. 225; DFT total energy = -11.2 eV for the cell shown; energy of formation = 0.80 eV per atom; magnetic moment = 1.06 Bohr magnetons per cell; V = 136.8 Å³/cell
1.0
5.2155 0.3951 2.4688
1.2989 -3.3111 4.5609
3.7977 -4.3268 -0.5554
Y Rb Pt
1 2 1
Direct
0.0000 0.0000 0.0000
0.2500 0.2500 0.2500
0.7500 0.7500 0.7500
0.5000 0.5000 0.5000


RbYPt2, relaxed, DFT PBE; relative energy among the computed polymorphs = 0 meV per atom; space group = Fm-3m, No. 225; DFT total energy = -20.6 eV for the cell shown; energy of formation = -0.26 eV per atom; magnetic moment = 0.00 Bohr magnetons per cell; V = 94.1 Å³/cell
1.0
-3.1452 -2.2078 -3.3619
-3.9561 2.6144 -1.8929
0.0276 1.4921 -4.8828
Y Rb Pt
1 1 2
Direct
0.5000 0.5000 0.5000
0.0000 0.0000 0.0000
0.2500 0.2500 0.2500
0.7500 0.7500 0.7500


RbY2Pt, relaxed, DFT PBE; relative energy among the computed polymorphs = 0 meV per atom; space group = I-42d, No. 122; DFT total energy = -40.3 eV for the cell shown; energy of formation = -0.05 eV per atom; magnetic moment = 0.00 Bohr magnetons per cell; V = 292.8 Å³/cell
1.0
-2.1660 8.0475 3.3162
-5.6498 -3.8995 5.7728
-1.2215 1.7921 6.9833
Y Rb Pt
4 2 2
Direct
0.7294 0.1250 0.2500
0.0206 0.6250 0.2500
0.3750 0.2706 0.7500
0.8750 0.9794 0.7500
0.5000 0.5000 0.0000
0.2500 0.7500 0.5000
0.0000 0.0000 0.0000
0.7500 0.2500 0.5000


Rb2YPt2, relaxed, DFT PBE; relative energy among the computed polymorphs = 793 meV per atom; space group = I4/mmm, No. 139; DFT total energy = -17.3 eV for the cell shown; energy of formation = 0.63 eV per atom; magnetic moment = 0.00 Bohr magnetons per cell; V = 153.4 Å³/cell
1.0
5.6256 0.0000 0.0000
0.0000 5.6256 0.0000
2.8128 2.8128 4.8474
Y Rb Pt
1 2 2
Direct
0.0000 0.0000 0.0000
0.3528 0.3528 0.2944
0.6472 0.6472 0.7056
0.7500 0.2500 0.5000
0.2500 0.7500 0.5000


Rb2YPt2, relaxed, DFT PBE; relative energy among the computed polymorphs = 540 meV per atom; space group = P4/mbm, No. 127; DFT total energy = -37.2 eV for the cell shown; energy of formation = 0.37 eV per atom; magnetic moment = 0.00 Bohr magnetons per cell; V = 275.9 Å³/cell
1.0
-5.3962 4.4794 6.0963
-3.3766 -8.1271 2.9828
2.3279 -0.1661 2.1826
Y Rb Pt
2 4 4
Direct
0.0000 0.0000 0.0000
0.5000 0.5000 0.0000
0.3849 0.8849 0.0000
0.8849 0.6151 0.0000
0.6151 0.1151 0.0000
0.1151 0.3849 0.0000
0.1888 0.6888 0.5000
0.6888 0.8112 0.5000
0.8112 0.3112 0.5000
0.3112 0.1888 0.5000


RbYPt2, relaxed, DFT PBE; relative energy among the computed polymorphs = 79 meV per atom; space group = I-42d, No. 122; DFT total energy = -40.5 eV for the cell shown; energy of formation = -0.19 eV per atom; magnetic moment = 0.00 Bohr magnetons per cell; V = 250.1 Å³/cell
1.0
-4.6526 -4.1504 4.9695
6.0037 -0.4741 5.2249
-0.5210 1.0395 6.7762
Y Rb Pt
2 2 4
Direct
0.0000 0.0000 0.0000
0.7500 0.2500 0.5000
0.5000 0.5000 0.0000
0.2500 0.7500 0.5000
0.6826 0.1250 0.2500
0.0674 0.6250 0.2500
0.3750 0.3174 0.7500
0.8750 0.9326 0.7500


RbY2Pt, relaxed, DFT PBE; relative energy among the computed polymorphs = 117 meV per atom; space group = Fm-3m, No. 225; DFT total energy = -19.7 eV for the cell shown; energy of formation = 0.06 eV per atom; magnetic moment = 0.00 Bohr magnetons per cell; V = 104.2 Å³/cell
1.0
0.0000 3.7347 3.7347
3.7347 0.0000 3.7347
3.7347 3.7347 0.0000
Y Rb Pt
2 1 1
Direct
0.2500 0.2500 0.2500
0.7500 0.7500 0.7500
0.0000 0.0000 0.0000
0.5000 0.5000 0.5000


Rb2Zn2Pt, relaxed, DFT PBE; space group = P4/mbm, No. 127; DFT total energy = -21.1 eV for the cell shown; energy of formation = 0.00 eV per atom; magnetic moment = 0.00 Bohr magnetons per cell; V = 298.6 Å³/cell
1.0
-6.8655 0.5830 -1.5986
1.1838 -3.1367 -6.2281
-1.0312 -5.3262 2.4865
Zn Rb Pt
4 4 2
Direct
0.3057 0.8057 0.0000
0.8057 0.6943 0.0000
0.6943 0.1943 0.0000
0.1943 0.3057 0.0000
0.1744 0.6744 0.5000
0.6744 0.8256 0.5000
0.8256 0.3256 0.5000
0.3256 0.1744 0.5000
0.0000 0.0000 0.0000
0.5000 0.5000 0.0000


RbZn2Pt, relaxed, DFT PBE; relative energy among the computed polymorphs = 0 meV per atom; space group = Cm, No. 8; DFT total energy = -10.8 eV for the cell shown; energy of formation = -0.30 eV per atom; magnetic moment = 0.00 Bohr magnetons per cell; V = 109.1 Å³/cell
1.0
4.2086 0.0009 1.5212
1.8317 3.7891 1.5212
-0.0642 -0.0403 6.8099
Rb Zn Pt
1 2 1
Direct
0.4951 0.4951 0.5103
0.0084 0.0084 0.9763
0.3218 0.3218 0.0360
0.6747 0.6747 0.9774


Rb2Zn4Pt, relaxed, DFT PBE; space group = I4/mmm, No. 139; DFT total energy = -13.8 eV for the cell shown; energy of formation = -0.10 eV per atom; magnetic moment = 0.00 Bohr magnetons per cell; V = 228.3 Å³/cell
1.0
5.0118 0.0000 0.0000
0.0000 5.0118 0.0000
2.5059 2.5059 9.0886
Zn Rb Pt
4 2 1
Direct
0.8648 0.8648 0.2703
0.1352 0.1352 0.7297
0.0000 0.5000 0.0000
0.5000 0.0000 0.0000
0.6543 0.6543 0.6914
0.3457 0.3457 0.3086
0.0000 0.0000 0.0000


Rb3ZnPt, relaxed, DFT PBE; relative energy among the computed polymorphs = 0 meV per atom; space group = Pm-3m, No. 221; DFT total energy = -9.1 eV for the cell shown; energy of formation = 0.22 eV per atom; magnetic moment = 0.98 Bohr magnetons per cell; V = 270.1 Å³/cell
1.0
-2.6763 -2.6394 -5.2587
5.6776 -2.6749 -1.5469
-1.5445 -5.2595 3.4258
Zn Rb Pt
1 3 1
Direct
0.5000 0.5000 0.5000
0.0000 0.5000 0.0000
0.0000 0.0000 0.5000
0.5000 0.0000 0.0000
0.0000 0.0000 0.0000


Rb2ZnPt2, relaxed, DFT PBE; relative energy among the computed polymorphs = 197 meV per atom; space group = P4/mbm, No. 127; DFT total energy = -31.1 eV for the cell shown; energy of formation = -0.05 eV per atom; magnetic moment = 0.00 Bohr magnetons per cell; V = 251.8 Å³/cell
1.0
-0.1088 -4.3955 -5.0336
6.6271 0.5766 -0.6468
0.7250 -4.2181 3.6678
Zn Rb Pt
2 4 4
Direct
0.0000 0.0000 0.0000
0.5000 0.5000 0.0000
0.1772 0.6772 0.5000
0.6772 0.8228 0.5000
0.8228 0.3228 0.5000
0.3228 0.1772 0.5000
0.3616 0.8616 0.0000
0.8616 0.6384 0.0000
0.6384 0.1384 0.0000
0.1384 0.3616 0.0000


Rb2ZnPt2, relaxed, DFT PBE; relative energy among the computed polymorphs = 0 meV per atom; space group = R-3m, No. 166; DFT total energy = -16.5 eV for the cell shown; energy of formation = -0.25 eV per atom; magnetic moment = 0.00 Bohr magnetons per cell; V = 188.5 Å³/cell
1.0
-3.2838 -0.2300 3.1339
0.9192 1.0163 4.3336
-3.2512 10.3401 0.6481
Rb Zn Pt
2 1 2
Direct
0.4257 0.4257 0.7230
0.5743 0.5743 0.2770
0.0000 0.0000 0.0000
0.6737 0.6737 0.9789
0.3263 0.3263 0.0211


RbZn2Pt, relaxed, DFT PBE; relative energy among the computed polymorphs = 580 meV per atom; space group = Fm-3m, No. 225; DFT total energy = -8.4 eV for the cell shown; energy of formation = 0.28 eV per atom; magnetic moment = 0.00 Bohr magnetons per cell; V = 86.4 Å³/cell
1.0
1.4197 -4.2209 2.1895
-1.8550 -1.2420 4.4318
-3.1825 -3.7880 0.3845
Zn Rb Pt
2 1 1
Direct
0.2500 0.2500 0.2500
0.7500 0.7500 0.7500
0.0000 0.0000 0.0000
0.5000 0.5000 0.5000


RbZn2Pt, relaxed, DFT PBE; relative energy among the computed polymorphs = 0 meV per atom; space group = R-3m, No. 166; DFT total energy = -10.8 eV for the cell shown; energy of formation = -0.30 eV per atom; magnetic moment = 0.00 Bohr magnetons per cell; V = 106.6 Å³/cell
1.0
-0.7408 -1.5375 4.1056
1.9602 -3.7535 1.3556
5.2539 1.5290 3.9281
Zn Rb Pt
2 1 1
Direct
0.8166 0.8166 0.5502
0.1834 0.1834 0.4498
0.0000 0.0000 0.0000
0.5000 0.5000 0.5000


RbZn3Pt, relaxed, DFT PBE; relative energy among the computed polymorphs = 0 meV per atom; space group = Pm-3m, No. 221; DFT total energy = -12.2 eV for the cell shown; energy of formation = -0.27 eV per atom; magnetic moment = 0.00 Bohr magnetons per cell; V = 124.5 Å³/cell
1.0
-1.9806 -0.5785 4.5466
1.9982 -4.5664 0.2895
4.1247 1.9344 2.0430
Zn Rb Pt
3 1 1
Direct
0.0000 0.5000 0.0000
0.0000 0.0000 0.5000
0.5000 0.0000 0.0000
0.5000 0.5000 0.5000
0.0000 0.0000 0.0000